[1]
A PBEsol-optimized structure of NbH2OsW. Source: the Alexandria database, functional meta-GGA SCAN.

The structure in CIF format:
```
data_NbH2OsW
_symmetry_space_group_name_H-M 'P 4/m m m'
_symmetry_Int_Tables_number 123
_symmetry_space_group_name_Hall '-P 4 2'
_cell_length_a 3.6011
_cell_length_b 3.6011
_cell_length_c 4.9734
_cell_angle_alpha 90.00
_cell_angle_beta 90.00
_cell_angle_gamma 90.00
loop_
_atom_site_label
_atom_site_type_symbol
_atom_site_fract_x
_atom_site_fract_y
_atom_site_fract_z
Nb1 Nb 0.0000 0.0000 0.0000
H1 H 0.0000 0.5000 0.5000
Os1 Os 0.5000 0.5000 0.0000
W1 W 0.5000 0.5000 0.5000
```

Calculated values
M_tot = 0.000 μB/f.u.
uncorrected energy = -35.5751 eV/atom

***

[2]
A PBEsol-optimized structure of Zr3W. Source: the Alexandria database, functional meta-GGA SCAN.

The structure in CIF format:
```
data_Zr3W
_symmetry_space_group_name_H-M 'R -3 m'
_symmetry_Int_Tables_number 166
_symmetry_space_group_name_Hall '-R 3 2"'
_cell_length_a 9.6105
_cell_length_b 9.6105
_cell_length_c 2.9349
_cell_angle_alpha 90.00
_cell_angle_beta 90.00
_cell_angle_gamma 120.00
loop_
_atom_site_label
_atom_site_type_symbol
_atom_site_fract_x
_atom_site_fract_y
_atom_site_fract_z
Zr1 Zr 0.0000 0.5000 0.0000
W1 W 0.0000 0.0000 0.0000
```

Calculated values
energy relative to the lowest polymorph listed for this composition = 32 meV/atom
M_tot = 0.000 μB/f.u.

***

[3]
A PBEsol-optimized structure of CaScTe2. Source: the Alexandria database, functional meta-GGA SCAN.

The structure in CIF format:
```
data_CaScTe2
_symmetry_space_group_name_H-M 'P 4/m m m'
_symmetry_Int_Tables_number 123
_symmetry_space_group_name_Hall '-P 4 2'
_cell_length_a 4.2604
_cell_length_b 4.2604
_cell_length_c 6.0107
_cell_angle_alpha 90.00
_cell_angle_beta 90.00
_cell_angle_gamma 90.00
loop_
_atom_site_label
_atom_site_type_symbol
_atom_site_fract_x
_atom_site_fract_y
_atom_site_fract_z
Ca1 Ca 0.0000 0.0000 0.0000
Sc1 Sc 0.5000 0.5000 0.5000
Te1 Te 0.0000 0.0000 0.5000
Te2 Te 0.5000 0.5000 0.0000
```

Calculated values
energy relative to the lowest polymorph listed for this composition = 45 meV/atom
M_tot = 0.000 μB/f.u.
uncorrected formation energy = -1436 meV/atom

***

[4]
A PBEsol-optimized structure of TaIn2As. Source: the Alexandria database, functional meta-GGA SCAN.

The structure in CIF format:
```
data_TaIn2As
_symmetry_space_group_name_H-M 'P 4 m m'
_symmetry_Int_Tables_number 99
_symmetry_space_group_name_Hall 'P 4 -2'
_cell_length_a 3.3143
_cell_length_b 3.3143
_cell_length_c 7.6032
_cell_angle_alpha 90.00
_cell_angle_beta 90.00
_cell_angle_gamma 90.00
loop_
_atom_site_label
_atom_site_type_symbol
_atom_site_fract_x
_atom_site_fract_y
_atom_site_fract_z
Ta1 Ta 0.0000 0.0000 0.0000
In1 In 0.0000 0.0000 0.4216
In2 In 0.5000 0.5000 0.7400
As1 As 0.5000 0.5000 0.1506
```

Calculated values
M_tot = 0.000 μB/f.u.
uncorrected energy = -38.3658 eV/atom

***

[5]
A PBEsol-optimized structure of Mg5Zr4. Source: the Alexandria database, functional meta-GGA SCAN.

The structure in CIF format:
```
data_Mg5Zr4
_symmetry_space_group_name_H-M 'I 4/m m m'
_symmetry_Int_Tables_number 139
_symmetry_space_group_name_Hall '-I 4 2'
_cell_length_a 9.8877
_cell_length_b 9.8877
_cell_length_c 4.0880
_cell_angle_alpha 90.00
_cell_angle_beta 90.00
_cell_angle_gamma 90.00
loop_
_atom_site_label
_atom_site_type_symbol
_atom_site_fract_x
_atom_site_fract_y
_atom_site_fract_z
Mg1 Mg 0.0000 0.0000 0.0000
Mg2 Mg 0.1704 0.1704 0.5000
Zr1 Zr 0.0000 0.3417 0.0000
```

Calculated values
M_tot = 0.000 μB/f.u.
uncorrected energy = -16.3989 eV/atom

***

[6]
A PBEsol-optimized structure of ScMnRuS2. Source: the Alexandria database, functional meta-GGA SCAN.

The structure in CIF format:
```
data_ScMnRuS2
_symmetry_space_group_name_H-M 'P 4/m m m'
_symmetry_Int_Tables_number 123
_symmetry_space_group_name_Hall '-P 4 2'
_cell_length_a 4.2235
_cell_length_b 4.2235
_cell_length_c 4.4858
_cell_angle_alpha 90.00
_cell_angle_beta 90.00
_cell_angle_gamma 90.00
loop_
_atom_site_label
_atom_site_type_symbol
_atom_site_fract_x
_atom_site_fract_y
_atom_site_fract_z
Sc1 Sc 0.0000 0.0000 0.0000
Mn1 Mn 0.0000 0.0000 0.5000
Ru1 Ru 0.5000 0.5000 0.0000
S1 S 0.0000 0.5000 0.5000
```

Calculated values
M_tot = 0.002 μB/f.u.
uncorrected formation energy = 531 meV/atom

***

[7]
A PBEsol-optimized structure of ScFe2Os. Source: the Alexandria database, functional meta-GGA SCAN.

The structure in CIF format:
```
data_ScFe2Os
_symmetry_space_group_name_H-M 'P 1 m 1'
_symmetry_Int_Tables_number 6
_symmetry_space_group_name_Hall 'P -2y'
_cell_length_a 2.6837
_cell_length_b 4.1981
_cell_length_c 4.8806
_cell_angle_alpha 90.00
_cell_angle_beta 100.28
_cell_angle_gamma 90.00
loop_
_atom_site_label
_atom_site_type_symbol
_atom_site_fract_x
_atom_site_fract_y
_atom_site_fract_z
Sc1 Sc 0.0000 0.0000 0.0000
Fe1 Fe 0.5480 0.0000 0.4906
Fe2 Fe 0.6752 0.5000 0.2404
Os1 Os 0.2667 0.5000 0.6987
```

Calculated values
M_tot = 4.427 μB/f.u.
uncorrected energy = -30.5767 eV/atom

***

[8]
A PBEsol-optimized structure of La3TcAu. Source: the Alexandria database, functional meta-GGA SCAN.

The structure in CIF format:
```
data_La3TcAu
_symmetry_space_group_name_H-M 'P m -3 m'
_symmetry_Int_Tables_number 221
_symmetry_space_group_name_Hall '-P 4 2 3'
_cell_length_a 5.6193
_cell_length_b 5.6193
_cell_length_c 5.6193
_cell_angle_alpha 90.00
_cell_angle_beta 90.00
_cell_angle_gamma 90.00
loop_
_atom_site_label
_atom_site_type_symbol
_atom_site_fract_x
_atom_site_fract_y
_atom_site_fract_z
La1 La 0.0000 0.0000 0.5000
Tc1 Tc 0.5000 0.5000 0.5000
Au1 Au 0.0000 0.0000 0.0000
```

Calculated values
M_tot = 1.432 μB/f.u.
uncorrected energy = -46.2141 eV/atom

***

[9]
A PBEsol-optimized structure of La2YCu. Source: the Alexandria database, functional meta-GGA SCAN.

The structure in CIF format:
```
data_La2YCu
_symmetry_space_group_name_H-M 'I m m 2'
_symmetry_Int_Tables_number 44
_symmetry_space_group_name_Hall 'I 2 -2'
_cell_length_a 3.6508
_cell_length_b 5.4359
_cell_length_c 11.0969
_cell_angle_alpha 90.00
_cell_angle_beta 90.00
_cell_angle_gamma 90.00
loop_
_atom_site_label
_atom_site_type_symbol
_atom_site_fract_x
_atom_site_fract_y
_atom_site_fract_z
La1 La 0.0000 0.0000 0.0000
La2 La 0.0000 0.5000 0.2071
Y1 Y 0.0000 0.5000 0.7925
Cu1 Cu 0.0000 0.0000 0.4887
```

Calculated values
energy relative to the lowest polymorph listed for this composition = 34 meV/atom
M_tot = 0.000 μB/f.u.

***

[10]
A PBEsol-optimized structure of FeReRh2. Source: the Alexandria database, functional meta-GGA SCAN.

The structure in CIF format:
```
data_FeReRh2
_symmetry_space_group_name_H-M 'C m m m'
_symmetry_Int_Tables_number 65
_symmetry_space_group_name_Hall '-C 2 2'
_cell_length_a 5.3112
_cell_length_b 7.4883
_cell_length_c 2.6680
_cell_angle_alpha 90.00
_cell_angle_beta 90.00
_cell_angle_gamma 90.00
loop_
_atom_site_label
_atom_site_type_symbol
_atom_site_fract_x
_atom_site_fract_y
_atom_site_fract_z
Fe1 Fe 0.0000 0.0000 0.0000
Re1 Re 0.0000 0.5000 0.0000
Rh1 Rh 0.2500 0.2500 0.5000
```

Calculated values
energy relative to the lowest polymorph listed for this composition = 56 meV/atom
M_tot = 3.046 μB/f.u.

***

[11]
A PBEsol-optimized structure of CsFeSbI2. Source: the Alexandria database, functional meta-GGA SCAN.

The structure in CIF format:
```
data_CsFeSbI2
_symmetry_space_group_name_H-M 'P 4/m m m'
_symmetry_Int_Tables_number 123
_symmetry_space_group_name_Hall '-P 4 2'
_cell_length_a 5.8134
_cell_length_b 5.8134
_cell_length_c 4.8584
_cell_angle_alpha 90.00
_cell_angle_beta 90.00
_cell_angle_gamma 90.00
loop_
_atom_site_label
_atom_site_type_symbol
_atom_site_fract_x
_atom_site_fract_y
_atom_site_fract_z
Cs1 Cs 0.0000 0.0000 0.0000
Fe1 Fe 0.5000 0.5000 0.5000
Sb1 Sb 0.5000 0.5000 0.0000
I1 I 0.0000 0.5000 0.5000
```

Calculated values
M_tot = 2.883 μB/f.u.
uncorrected formation energy = -312 meV/atom

***

[12]
A PBEsol-optimized structure of LiMnMo2. Source: the Alexandria database, functional meta-GGA SCAN.

The structure in CIF format:
```
data_LiMnMo2
_symmetry_space_group_name_H-M 'F -4 3 m'
_symmetry_Int_Tables_number 216
_symmetry_space_group_name_Hall 'F -4 2 3'
_cell_length_a 6.0256
_cell_length_b 6.0256
_cell_length_c 6.0256
_cell_angle_alpha 90.00
_cell_angle_beta 90.00
_cell_angle_gamma 90.00
loop_
_atom_site_label
_atom_site_type_symbol
_atom_site_fract_x
_atom_site_fract_y
_atom_site_fract_z
Li1 Li 0.0000 0.0000 0.0000
Mn1 Mn 0.2500 0.2500 0.7500
Mo1 Mo 0.0000 0.0000 0.5000
Mo2 Mo 0.2500 0.2500 0.2500
```

Calculated values
energy relative to the lowest polymorph listed for this composition = 36 meV/atom
M_tot = 3.490 μB/f.u.